# 1
Computed, not measured: a geometry-optimized GaSn2Rh6 structure at the PBE level of DFT.

a = 12.9919 Å, b = 6.0577 Å, c = 4.3275 Å
α = 90.00°, β = 109.27°, γ = 90.00°
Closest atoms and distances in Å follow each position.
Space group C2/m (No. 12)
Inequivalent atoms, fractional coordinates:
Ga 0.0000 0.0000 0.0000 (multiplicity 2)  8 Rh 2.49-2.55
Sn 0.1652 0.5000 0.6633 (multiplicity 4)  8 Rh 2.62-2.64
Rh 0.0000 0.2236 0.5000 (multiplicity 4)  2 Ga 2.55, 2 Sn 2.63, 1 Rh 2.71
Rh 0.1608 0.2515 0.1592 (multiplicity 8)  1 Ga 2.49, 3 Sn 2.62-2.64

Results
DOS at the Fermi energy: 16.2 states/eV per cell
ΔE_f: -0.12 eV per atom

---

# 2
Computed, not measured: a geometry-optimized GaSn3Rh structure at the PBE level of DFT.

a = 5.1547 Å, b = 5.1547 Å, c = 5.1547 Å
α = 90.00°, β = 90.00°, γ = 90.00°
Closest atoms and distances in Å follow each position.
Space group Pm-3m (No. 221)
Inequivalent atoms, fractional coordinates:
Ga 0.0000 0.0000 0.0000 (multiplicity 1)  12 Sn 3.64
Sn 0.0000 0.5000 0.5000 (multiplicity 3)  2 Rh 2.58
Rh 0.5000 0.5000 0.5000 (multiplicity 1)  6 Sn 2.58

Results
DOS at the Fermi energy: 2.9 states/eV per cell
Relative energy among the computed polymorphs: 305 meV/atom
ΔE_f: 0.07 eV per atom

---

# 3
Computed, not measured: a geometry-optimized GaSn3Rh structure at the PBE level of DFT.

a = 10.3403 Å, b = 8.5177 Å, c = 6.5180 Å
α = 90.00°, β = 127.57°, γ = 90.00°
Closest atoms and distances in Å follow each position.
Space group C2/m (No. 12)
Inequivalent atoms, fractional coordinates:
Ga 0.0570 0.0000 0.2549 (multiplicity 4)  2 Rh 2.52-2.56, 1 Ga 2.77
Sn 0.0652 0.5000 0.3266 (multiplicity 4)  2 Rh 2.73-2.87
Sn 0.2051 0.1932 0.7349 (multiplicity 8)  2 Rh 2.72-2.82, 1 Ga 3.00
Rh 0.2432 0.0000 0.1193 (multiplicity 4)  2 Ga 2.52-2.56, 5 Sn 2.72-2.82

Results
DOS at the Fermi energy: 8.8 states/eV per cell
Relative energy among the computed polymorphs: 0 meV/atom
ΔE_f: -0.23 eV per atom

---

# 4
Computed, not measured: a geometry-optimized Ga2SnRh structure at the PBE level of DFT.

a = 3.7943 Å, b = 8.3102 Å, c = 4.9611 Å
α = 90.00°, β = 112.29°, γ = 90.00°
Closest atoms and distances in Å follow each position.
Space group P2_1/m (No. 11)
Inequivalent atoms, fractional coordinates:
Ga 0.1410 0.0404 0.2810 (multiplicity 4)  3 Rh 2.67-2.75, 3 Ga 2.67-2.85
Sn 0.4273 0.2500 0.8555 (multiplicity 2)  3 Rh 2.64-2.72
Rh 0.2837 0.7500 0.5684 (multiplicity 2)  3 Sn 2.64-2.72, 6 Ga 2.67-2.75

Results
DOS at the Fermi energy: 1.8 states/eV per cell
ΔE_f: -0.36 eV per atom